Entry 1:
This record from Alexandria describes MnCr4CdSe8 at its PBEsol-relaxed geometry. The functional is SCAN.

abc: 7.4858 7.4858 7.4858
angles: 60.00 60.00 60.00
Closest atoms and distances in Å follow each position.
Sites, in units of the cell vectors:
Mn: 0.0000 0.0000 0.0000  4 Se 2.48
Cr: 0.1239 0.6254 0.6254  6 Se 2.50-2.54
Cr: 0.6254 0.1239 0.6254  6 Se 2.50-2.54
Cr: 0.6254 0.6254 0.1239  6 Se 2.50-2.54
Cr: 0.6254 0.6254 0.6254  6 Se 2.50-2.54
Cd: 0.2500 0.2500 0.2500  4 Se 2.57
Se: 0.3903 0.3903 0.3903  3 Cr 2.50, 1 Cd 2.57
Se: 0.3903 0.3903 0.8291  3 Cr 2.50, 1 Cd 2.57
Se: 0.3903 0.8291 0.3903  3 Cr 2.50, 1 Cd 2.57
Se: 0.4066 0.8645 0.8645  1 Mn 2.48, 3 Cr 2.54
Se: 0.8291 0.3903 0.3903  3 Cr 2.50, 1 Cd 2.57
Se: 0.8645 0.4066 0.8645  1 Mn 2.48, 3 Cr 2.54
Se: 0.8645 0.8645 0.4066  1 Mn 2.48, 3 Cr 2.54
Se: 0.8645 0.8645 0.8645  1 Mn 2.48, 3 Cr 2.54

Summary:
As for the space-group type: F-43m, No. 216. The value obtained for the uncorrected formation energy is -0.9026 eV/atom. As for the calculated volume: 21.19 A^3/atom.



Entry 2:
This record from Alexandria describes SrHfIN2 at its PBEsol-relaxed geometry. The functional is SCAN.

abc: 4.3063 4.3063 5.5700
angles: 90.00 90.00 90.00
Closest atoms and distances in Å follow each position.
Sites, in units of the cell vectors:
Sr: 0.0000 0.0000 0.0000  4 I 3.05
Hf: 0.5000 0.5000 0.5000  4 N 2.15
I: 0.5000 0.5000 0.0000  2 Hf 2.79, 4 Sr 3.05
N: 0.0000 0.5000 0.5000  2 Hf 2.15
N: 0.5000 0.0000 0.5000  2 Hf 2.15

Summary:
As for the space-group type: P4/mmm, No. 123. The value obtained for the uncorrected formation energy is -0.5373 eV/atom. As for the calculated volume: 20.66 A^3/atom.



Entry 3:
This record from Alexandria describes B2Ir2Au at its PBEsol-relaxed geometry. The functional is SCAN.

abc: 6.6791 6.6791 2.6675
angles: 90.00 90.00 90.00
Closest atoms and distances in Å follow each position.
Sites, in units of the cell vectors:
B: 0.1430 0.3570 0.0000  6 Ir 2.33-2.42
B: 0.3570 0.8570 0.0000  6 Ir 2.33-2.42
B: 0.6430 0.1430 0.0000  6 Ir 2.33-2.42
B: 0.8570 0.6430 0.0000  6 Ir 2.33-2.42
Ir: 0.1431 0.6431 0.5000  6 B 2.33-2.42, 2 Au 2.57
Ir: 0.3569 0.1431 0.5000  6 B 2.33-2.42, 2 Au 2.57
Ir: 0.6431 0.8569 0.5000  6 B 2.33-2.42, 2 Au 2.57
Ir: 0.8569 0.3569 0.5000  6 B 2.33-2.42, 2 Au 2.57
Au: 0.0000 0.0000 0.5000  4 Ir 2.57, 2 Au 2.67
Au: 0.5000 0.5000 0.5000  4 Ir 2.57, 2 Au 2.67

Summary:
The value obtained for the formation energy is 1.75 eV per formula unit. As for the space-group type: P4/mbm, No. 127. The energy above the most stable polymorph in this dataset comes out at 536.3 meV/atom. As for the calculated volume: 11.90 A^3/atom.



Entry 4:
This record from Alexandria describes Li2NiSn3P6O24 at its PBEsol-relaxed geometry. The functional is SCAN.

abc: 8.8113 8.8113 8.8113
angles: 56.39 56.39 56.39
Closest atoms and distances in Å follow each position.
Sites, in units of the cell vectors:
Li: 0.0000 0.0000 0.0000  3 O 2.14
Li: 0.4739 0.4739 0.4739  3 O 1.99
Ni: 0.3585 0.3585 0.3585  6 O 1.84-1.92
Sn: 0.1518 0.1518 0.1518  6 O 2.01-2.04
Sn: 0.6562 0.6562 0.6562  6 O 2.02-2.03
Sn: 0.8649 0.8649 0.8649  6 O 2.03-2.08
P: 0.0599 0.7468 0.4650  4 O 1.53-1.56
P: 0.2551 0.5472 0.9860  4 O 1.53-1.55
P: 0.4650 0.0599 0.7468  4 O 1.53-1.56
P: 0.5472 0.9860 0.2551  4 O 1.53-1.55
P: 0.7468 0.4650 0.0599  4 O 1.53-1.56
P: 0.9860 0.2551 0.5472  4 O 1.53-1.55
O: 0.0058 0.1838 0.4116  1 P 1.53
O: 0.0408 0.7899 0.6240  1 P 1.55
O: 0.1163 0.7597 0.9152  1 P 1.55
O: 0.1417 0.8841 0.2581  1 P 1.54
O: 0.1844 0.2292 0.5283  1 P 1.55
O: 0.1838 0.4116 0.0058  1 P 1.53
O: 0.2106 0.5340 0.4969  1 P 1.56
O: 0.2292 0.5283 0.1844  1 P 1.55
O: 0.2581 0.1417 0.8841  1 P 1.54
O: 0.4116 0.0058 0.1838  1 P 1.53
O: 0.4614 0.5174 0.8315  1 P 1.53
O: 0.4812 0.8637 0.7776  1 P 1.53
O: 0.4969 0.2106 0.5340  1 P 1.56
O: 0.5174 0.8315 0.4614  1 P 1.53
O: 0.5283 0.1844 0.2292  1 P 1.55
O: 0.5340 0.4969 0.2106  1 P 1.56
O: 0.6240 0.0408 0.7899  1 P 1.55
O: 0.7597 0.9152 0.1163  1 P 1.55
O: 0.7776 0.4812 0.8637  1 P 1.53
O: 0.7899 0.6240 0.0408  1 P 1.55
O: 0.8315 0.4614 0.5174  1 P 1.53
O: 0.8637 0.7776 0.4812  1 P 1.53
O: 0.8841 0.2581 0.1417  1 P 1.54
O: 0.9152 0.1163 0.7597  1 P 1.55

Summary:
As for the space-group type: R3, No. 146. The value obtained for the uncorrected formation energy is -2.1748 eV/atom. As for the calculated volume: 12.32 A^3/atom.



Entry 5:
This record from Alexandria describes LiCaRh2 at its PBEsol-relaxed geometry. The functional is SCAN.

abc: 4.9633 4.9633 2.8362
angles: 90.00 90.00 114.12
Closest atoms and distances in Å follow each position.
Sites, in units of the cell vectors:
Li: 0.0000 0.0000 0.0000  2 Ca 2.70, 2 Li 2.84, 8 Rh 2.86
Ca: 0.5000 0.5000 0.0000  2 Li 2.70, 2 Ca 2.84, 8 Rh 2.86
Rh: 0.0000 0.5000 0.5000  4 Rh 2.70-2.84, 4 Li 2.86, 4 Ca 2.86
Rh: 0.5000 0.0000 0.5000  4 Rh 2.70-2.84, 4 Li 2.86, 4 Ca 2.86

Summary:
The value obtained for the formation energy is -0.04 eV per formula unit. As for the space-group type: Cmmm, No. 65. As for the calculated volume: 15.94 A^3/atom.



Entry 6:
This record from Alexandria describes KMoAs2Br at its PBEsol-relaxed geometry. The functional is SCAN.

abc: 5.3220 5.3220 5.4049
angles: 90.00 90.00 90.00
Closest atoms and distances in Å follow each position.
Sites, in units of the cell vectors:
K: 0.0000 0.0000 0.0000  4 As 2.66, 2 Br 2.70
Mo: 0.5000 0.5000 0.5000  4 Br 3.76, 8 As 3.79
As: 0.0000 0.5000 0.0000  2 K 2.66
As: 0.5000 0.0000 0.0000  2 K 2.66
Br: 0.0000 0.0000 0.5000  2 K 2.70

Summary:
As for the space-group type: P4/mmm, No. 123. The value obtained for the uncorrected formation energy is 1.6082 eV/atom. As for the calculated volume: 30.62 A^3/atom.



Entry 7:
This record from Alexandria describes LiHoAu2 at its PBEsol-relaxed geometry. The functional is SCAN.

abc: 4.7527 4.7527 4.7527
angles: 60.00 60.00 60.00
Closest atoms and distances in Å follow each position.
Sites, in units of the cell vectors:
Li: 0.0000 0.0000 0.0000  8 Au 2.91
Ho: 0.5000 0.5000 0.5000  8 Au 2.91
Au: 0.2500 0.2500 0.2500  4 Ho 2.91, 4 Li 2.91
Au: 0.7500 0.7500 0.7500  4 Ho 2.91, 4 Li 2.91

Summary:
The value obtained for the formation energy is -3.53 eV per formula unit. As for the space-group type: Fm-3m, No. 225. As for the calculated volume: 18.98 A^3/atom.



Entry 8:
This record from Alexandria describes Y2InPb at its PBEsol-relaxed geometry. The functional is SCAN.

abc: 3.4762 4.2913 6.9871
angles: 90.00 90.00 90.00
Closest atoms and distances in Å follow each position.
Sites, in units of the cell vectors:
Y: 0.0000 0.0000 0.2464  4 In 3.25, 4 Pb 3.28, 4 Y 3.44-3.54
Y: 0.0000 0.0000 0.7536  4 In 3.25, 4 Pb 3.28, 4 Y 3.44-3.54
In: 0.5000 0.5000 0.0000  8 Y 3.25, 2 In 3.48, 2 Pb 3.49
Pb: 0.5000 0.5000 0.5000  8 Y 3.28, 2 Pb 3.48, 2 In 3.49

Summary:
The value obtained for the formation energy is -2.69 eV per formula unit. As for the space-group type: Pmmm, No. 47. As for the calculated volume: 26.06 A^3/atom.